Record 1
A relaxed structure of NaMnCd2Pd. Source: Alexandria, functional PBE-GGA.

Geometry as extended XYZ:
```
5
Lattice="5.050 0.000 0.000 0.000 5.050 0.000 0.000 0.000 4.776" Properties=species:S:1:pos:R:3 pbc="T T T"
Na 0.000 0.000 0.000
Mn 2.525 2.525 2.388
Cd 0.000 2.525 0.000
Cd 2.525 0.000 0.000
Pd 0.000 0.000 2.388
```

The calculated formation energy is 0.924 eV per atom. Its size of the total moment is 4.57 μB/cell.

Record 2
A relaxed structure of Tb4Cd3In. Source: Alexandria, functional PBE-GGA.

Geometry as extended XYZ:
```
8
Lattice="3.786 0.000 0.000 0.000 5.306 0.000 0.000 0.000 10.617" Properties=species:S:1:pos:R:3 pbc="T T T"
Tb 0.000 0.000 0.000
Tb 0.000 0.000 5.309
Tb 0.000 2.653 2.649
Tb 0.000 2.653 7.969
Cd 1.893 0.000 2.637
Cd 1.893 0.000 7.981
Cd 1.893 2.653 0.000
In 1.893 2.653 5.309
```

The calculated formation energy is -0.363 eV per atom. Its size of the total moment is 0.00 μB/cell.

Record 3
A relaxed structure of BaBi3Au3. Source: Alexandria, functional PBE-GGA.

Geometry as extended XYZ:
```
14
Lattice="9.805 0.000 0.000 -4.902 8.491 0.000 0.000 0.000 4.919" Properties=species:S:1:pos:R:3 pbc="T T T"
Ba 0.000 5.661 1.230
Ba 4.902 2.830 3.689
Bi -0.834 2.491 3.689
Bi -2.328 7.968 3.689
Bi 1.740 1.968 1.230
Bi 3.162 6.523 3.689
Bi 7.230 0.523 1.230
Bi 5.737 6.000 1.230
Au -2.330 5.042 3.689
Au 1.701 3.952 3.689
Au 4.274 0.503 1.230
Au 0.629 7.988 3.689
Au 3.201 4.539 1.230
Au 7.233 3.450 1.230
```

The calculated formation energy is -0.374 eV per atom. Its size of the total moment is 0.00 μB/cell.